# LaNiPt2F, relaxed, DFT PBE with a Hubbard U
# Energy: -22.19 eV per cell
# D(E_F): 0.452 states/eV/atom
data_LaNiPt2F
_chemical_formula_sum 'La1 Ni1 Pt2 F1'
_symmetry_space_group_name_H-M 'P 4/m m m'
_symmetry_Int_Tables_number 123
_symmetry_space_group_name_Hall '-P 4 2'
_cell_length_a 5.3993
_cell_length_b 5.3993
_cell_length_c 4.4325
_cell_angle_alpha 90.00
_cell_angle_beta 90.00
_cell_angle_gamma 90.00
loop_
_atom_site_label
_atom_site_fract_x
_atom_site_fract_y
_atom_site_fract_z
La1 0.0000 0.0000 0.0000
Ni1 0.5000 0.5000 0.5000
Pt1 0.0000 0.5000 0.0000
F1 0.0000 0.0000 0.5000